{
  "formula": "NaY2PbS",
  "functional": "PBE",
  "state": "optimized geometry",
  "cell": [[5.244, 0.000, 0.000], [0.000, 5.244, 0.000], [0.000, 0.000, 5.003]],
  "species": ["Na", "Y", "Y", "Pb", "S"],
  "frac_coords": [[0.000, 0.000, 0.000], [0.000, 0.500, 0.500], [0.500, 0.000, 0.500], [0.500, 0.500, 0.000], [0.000, 0.000, 0.500]],
  "density_g_cm3": 5.3,
  "formation_energy_uncorrected_mev_per_atom": -834,
  "dft_energy_ev_per_atom": -5.251
}

=====

{
  "formula": "Na2Zr3PbS8",
  "functional": "PBE",
  "state": "optimized geometry",
  "cell": [[3.833, 2.213, 7.104], [-3.833, 2.213, 7.104], [0.000, -4.426, 7.104]],
  "species": ["Na", "Na", "Zr", "Zr", "Zr", "Pb", "S", "S", "S", "S", "S", "S", "S", "S"],
  "frac_coords": [[0.000, 0.000, 0.000], [0.363, 0.363, 0.363], [0.487, 0.996, 0.996], [0.996, 0.487, 0.996], [0.996, 0.996, 0.487], [0.616, 0.616, 0.616], [0.196, 0.750, 0.750], [0.231, 0.231, 0.231], [0.254, 0.254, 0.782], [0.254, 0.782, 0.254], [0.750, 0.196, 0.750], [0.750, 0.750, 0.196], [0.763, 0.763, 0.763], [0.782, 0.254, 0.254]],
  "density_g_cm3": 3.6,
  "formation_energy_uncorrected_mev_per_atom": -1295,
  "dft_energy_ev_per_atom": -5.939
}

=====

{
  "formula": "NaSb2Pb",
  "functional": "PBE",
  "state": "optimized geometry",
  "cell": [[4.903, 0.000, 0.000], [0.000, 4.903, 0.000], [0.000, 0.000, 4.708]],
  "species": ["Na", "Sb", "Sb", "Pb"],
  "frac_coords": [[0.000, 0.000, 0.000], [0.000, 0.500, 0.500], [0.500, 0.000, 0.500], [0.500, 0.500, 0.000]],
  "density_g_cm3": 7.0,
  "formation_energy_uncorrected_mev_per_atom": -111,
  "dft_energy_ev_per_atom": -3.429
}

=====

{
  "formula": "Na2Sb2Pb",
  "functional": "PBE",
  "state": "optimized geometry",
  "cell": [[9.092, 0.000, 0.000], [0.000, 9.092, 0.000], [0.000, 0.000, 3.398]],
  "species": ["Na", "Na", "Na", "Na", "Sb", "Sb", "Sb", "Sb", "Pb", "Pb"],
  "frac_coords": [[0.116, 0.384, 0.000], [0.384, 0.884, 0.000], [0.616, 0.116, 0.000], [0.884, 0.616, 0.000], [0.184, 0.684, 0.500], [0.316, 0.184, 0.500], [0.684, 0.816, 0.500], [0.816, 0.316, 0.500], [0.000, 0.000, 0.000], [0.500, 0.500, 0.000]],
  "density_g_cm3": 5.9,
  "formation_energy_uncorrected_mev_per_atom": -138,
  "dft_energy_ev_per_atom": -3.056
}

=====

{
  "formula": "NaSb6Pb8",
  "functional": "PBE",
  "state": "optimized geometry",
  "cell": [[9.492, 0.000, 0.000], [-4.746, 8.221, 0.000], [0.000, 0.000, 6.599]],
  "species": ["Na", "Sb", "Sb", "Sb", "Sb", "Sb", "Sb", "Pb", "Pb", "Pb", "Pb", "Pb", "Pb", "Pb", "Pb"],
  "frac_coords": [[0.000, 0.000, 0.000], [0.045, 0.700, 0.774], [0.300, 0.346, 0.774], [0.346, 0.045, 0.226], [0.654, 0.955, 0.774], [0.700, 0.654, 0.226], [0.955, 0.300, 0.226], [0.031, 0.667, 0.293], [0.333, 0.363, 0.293], [0.333, 0.667, 0.967], [0.363, 0.031, 0.707], [0.637, 0.969, 0.293], [0.667, 0.333, 0.033], [0.667, 0.637, 0.707], [0.969, 0.333, 0.707]],
  "density_g_cm3": 7.8,
  "formation_energy_uncorrected_mev_per_atom": -21,
  "dft_energy_ev_per_atom": -3.735
}

=====

{
  "formula": "Na2SbPb",
  "functional": "PBE",
  "state": "optimized geometry",
  "cell": [[4.800, 0.000, 0.000], [0.000, 4.800, 0.000], [0.000, 0.000, 4.801]],
  "species": ["Na", "Na", "Sb", "Pb"],
  "frac_coords": [[0.000, 0.500, 0.000], [0.500, 0.000, 0.000], [0.000, 0.000, 0.500], [0.500, 0.500, 0.500]],
  "density_g_cm3": 5.6,
  "formation_energy_uncorrected_mev_per_atom": -264,
  "dft_energy_ev_per_atom": -2.882
}